[1]
LaHo3Tm7 (PBE-GGA, optimized geometry); space-group type = No. 10; formation energy from the elements = 0.16 eV per atom; E above lowest polymorph = 0 meV/atom
1.0
8.296 -0.642 -2.854
-2.058 9.569 -0.565
-1.860 -0.098 5.161
Tm La Ho
7 1 3
direct
0.650 0.289 0.150
0.350 0.711 0.850
0.174 0.357 0.674
0.067 0.168 0.067
0.500 0.000 0.500
0.826 0.643 0.326
0.933 0.832 0.933
0.500 0.500 0.500
0.000 0.500 0.000
0.775 0.992 0.275
0.225 0.008 0.725

[2]
Tb9Pm2Th (PBE-GGA, optimized geometry); space-group type = No. 123; formation energy from the elements = 0.02 eV per atom
1.0
-1.018 4.597 1.849
-2.831 1.009 -4.069
-12.183 -5.554 7.098
Tb Pm Th
9 2 1
direct
0.500 0.500 0.000
0.500 0.000 0.837
0.000 0.500 0.163
0.500 0.500 0.666
0.000 0.500 0.500
0.500 0.000 0.500
0.500 0.000 0.163
0.000 0.500 0.837
0.500 0.500 0.334
0.000 0.000 0.332
0.000 0.000 0.668
0.000 0.000 0.000

[3]
Al2TlOs (PBE-GGA, optimized geometry); space-group type = No. 119; formation energy from the elements = 0.34 eV per atom; E above lowest polymorph = 427 meV/atom
1.0
-1.566 3.930 -2.681
-4.532 -0.885 -1.938
1.836 -0.416 4.641
Os Al Tl
1 2 1
direct
0.500 0.500 0.000
0.000 0.000 0.000
0.250 0.750 0.500
0.750 0.250 0.500

[4]
Al3Te3Br (PBE-GGA, optimized geometry); space-group type = No. 62; formation energy without anion corrections = -0.56 eV/atom
1.0
4.131 0.000 0.000
0.000 11.521 0.000
0.000 0.000 20.997
Te Al Br
12 12 4
direct
0.250 0.599 0.873
0.250 0.099 0.627
0.250 0.684 0.505
0.750 0.789 0.685
0.750 0.401 0.127
0.250 0.211 0.315
0.250 0.184 0.995
0.250 0.711 0.185
0.750 0.901 0.373
0.750 0.816 0.005
0.750 0.289 0.815
0.750 0.316 0.495
0.750 0.336 0.005
0.250 0.677 0.632
0.750 0.323 0.368
0.250 0.664 0.995
0.250 0.177 0.868
0.750 0.836 0.495
0.750 0.959 0.596
0.750 0.459 0.904
0.250 0.541 0.096
0.750 0.823 0.132
0.250 0.164 0.505
0.250 0.041 0.404
0.750 0.514 0.335
0.250 0.486 0.665
0.750 0.014 0.165
0.250 0.986 0.835

Taking the records one at a time from the top gives energy values of -4.3847; -4.8600; -4.9279; -3.7497 eV per atom.